Record 1
# Tl2Cd2Pt, optimized geometry, DFT PBE-GGA
data_Tl2Cd2Pt
_chemical_formula_sum 'Tl4 Cd4 Pt2'
_space_group_name_H-M_alt 'P 4/m b m'
_space_group_IT_number 127
_space_group_name_Hall '-P 4 2ab'
_cell_length_a 7.311
_cell_length_b 7.311
_cell_length_c 4.759
_cell_angle_alpha 90.00
_cell_angle_beta 90.00
_cell_angle_gamma 90.00
loop_
_atom_site_label
_atom_site_type_symbol
_atom_site_fract_x
_atom_site_fract_y
_atom_site_fract_z
Tl1 Tl 0.161 0.339 0.000
Cd1 Cd 0.151 0.651 0.500
Pt1 Pt 0.000 0.000 0.000
# Density of states at the Fermi level   4.44 states/eV/cell
# Energy relative to the lowest polymorph listed for this composition   10.8 kJ/mol of atoms
# DFT formation energy   0.183 eV/atom
# M_tot   0.0 μB/f.u.

Record 2
# HfAlNi, optimized geometry, DFT PBE-GGA
data_HfAlNi
_chemical_formula_sum 'Hf4 Al4 Ni4'
_space_group_name_H-M_alt 'F -4 3 m'
_space_group_IT_number 216
_space_group_name_Hall 'F -4 2 3'
_cell_length_a 5.948
_cell_length_b 5.948
_cell_length_c 5.948
_cell_angle_alpha 90.00
_cell_angle_beta 90.00
_cell_angle_gamma 90.00
loop_
_atom_site_label
_atom_site_type_symbol
_atom_site_fract_x
_atom_site_fract_y
_atom_site_fract_z
Hf1 Hf 0.000 0.000 0.000
Al1 Al 0.000 0.000 0.500
Ni1 Ni 0.250 0.250 0.750
# Density of states at the Fermi level   20.32 states/eV/cell
# DFT formation energy   -0.418 eV/atom
# M_tot   0.8 μB/f.u.

Record 3
# LaRuPt2, optimized geometry, DFT PBE-GGA
data_LaRuPt2
_chemical_formula_sum 'La4 Ru4 Pt8'
_space_group_name_H-M_alt 'F m -3 m'
_space_group_IT_number 225
_space_group_name_Hall '-F 4 2 3'
_cell_length_a 6.773
_cell_length_b 6.773
_cell_length_c 6.773
_cell_angle_alpha 90.00
_cell_angle_beta 90.00
_cell_angle_gamma 90.00
loop_
_atom_site_label
_atom_site_type_symbol
_atom_site_fract_x
_atom_site_fract_y
_atom_site_fract_z
La1 La 0.000 0.000 0.000
Ru1 Ru 0.000 0.000 0.500
Pt1 Pt 0.250 0.250 0.250
# Density of states at the Fermi level   30.79 states/eV/cell
# DFT formation energy   -0.168 eV/atom
# M_tot   0.9 μB/f.u.

Record 4
# SiRuBr2, optimized geometry, DFT PBE-GGA
data_SiRuBr2
_chemical_formula_sum 'Si1 Ru1 Br2'
_space_group_name_H-M_alt 'P 4/m m m'
_space_group_IT_number 123
_space_group_name_Hall '-P 4 2'
_cell_length_a 4.724
_cell_length_b 4.724
_cell_length_c 3.317
_cell_angle_alpha 90.00
_cell_angle_beta 90.00
_cell_angle_gamma 90.00
loop_
_atom_site_label
_atom_site_type_symbol
_atom_site_fract_x
_atom_site_fract_y
_atom_site_fract_z
Si1 Si 0.000 0.000 0.000
Ru1 Ru 0.500 0.500 0.000
Br1 Br 0.000 0.500 0.500
# Density of states at the Fermi level   2.46 states/eV/cell
# Energy relative to the lowest polymorph listed for this composition   92.9 kJ/mol of atoms
# E_form (uncorrected)   0.877 eV per atom
# M_tot   0.0 μB/f.u.

Record 5
# ScMnAl2Ru, optimized geometry, DFT PBE-GGA
data_ScMnAl2Ru
_chemical_formula_sum 'Sc1 Mn1 Al2 Ru1'
_space_group_name_H-M_alt 'P 4/m m m'
_space_group_IT_number 123
_space_group_name_Hall '-P 4 2'
_cell_length_a 4.716
_cell_length_b 4.716
_cell_length_c 4.829
_cell_angle_alpha 90.00
_cell_angle_beta 90.00
_cell_angle_gamma 90.00
loop_
_atom_site_label
_atom_site_type_symbol
_atom_site_fract_x
_atom_site_fract_y
_atom_site_fract_z
Sc1 Sc 0.000 0.000 0.000
Mn1 Mn 0.500 0.500 0.000
Al1 Al 0.000 0.500 0.500
Ru1 Ru 0.000 0.000 0.500
# Density of states at the Fermi level   2.39 states/eV/cell
# Energy relative to the lowest polymorph listed for this composition   0.0 kJ/mol of atoms
# DFT formation energy   0.185 eV/atom
# M_tot   4.3 μB/f.u.

Record 6
# Mo3Br, optimized geometry, DFT PBE-GGA
data_Mo3Br
_chemical_formula_sum 'Mo6 Br2'
_space_group_name_H-M_alt 'C 1 2/m 1'
_space_group_IT_number 12
_space_group_name_Hall '-C 2y'
_cell_length_a 9.746
_cell_length_b 3.064
_cell_length_c 4.587
_cell_angle_alpha 90.00
_cell_angle_beta 96.24
_cell_angle_gamma 90.00
loop_
_atom_site_label
_atom_site_type_symbol
_atom_site_fract_x
_atom_site_fract_y
_atom_site_fract_z
Mo1 Mo 0.000 0.000 0.000
Mo2 Mo 0.233 0.500 0.214
Br1 Br 0.000 0.500 0.500
# Density of states at the Fermi level   6.74 states/eV/cell
# Energy relative to the lowest polymorph listed for this composition   29.9 kJ/mol of atoms
# E_form (uncorrected)   0.741 eV per atom
# M_tot   0.0 μB/f.u.

Record 7
# CsMgScBe2, optimized geometry, DFT PBE-GGA
data_CsMgScBe2
_chemical_formula_sum 'Cs1 Mg1 Sc1 Be2'
_space_group_name_H-M_alt 'P 4/m m m'
_space_group_IT_number 123
_space_group_name_Hall '-P 4 2'
_cell_length_a 4.948
_cell_length_b 4.948
_cell_length_c 5.482
_cell_angle_alpha 90.00
_cell_angle_beta 90.00
_cell_angle_gamma 90.00
loop_
_atom_site_label
_atom_site_type_symbol
_atom_site_fract_x
_atom_site_fract_y
_atom_site_fract_z
Cs1 Cs 0.000 0.000 0.000
Mg1 Mg 0.500 0.500 0.500
Sc1 Sc 0.500 0.500 0.000
Be1 Be 0.000 0.500 0.500
# Density of states at the Fermi level   1.66 states/eV/cell
# DFT formation energy   1.164 eV/atom
# M_tot   0.0 μB/f.u.

Record 8
# CaTcN2O, optimized geometry, DFT PBE-GGA
data_CaTcN2O
_chemical_formula_sum 'Ca1 Tc1 N2 O1'
_space_group_name_H-M_alt 'P 4/m m m'
_space_group_IT_number 123
_space_group_name_Hall '-P 4 2'
_cell_length_a 4.393
_cell_length_b 4.393
_cell_length_c 4.202
_cell_angle_alpha 90.00
_cell_angle_beta 90.00
_cell_angle_gamma 90.00
loop_
_atom_site_label
_atom_site_type_symbol
_atom_site_fract_x
_atom_site_fract_y
_atom_site_fract_z
Ca1 Ca 0.000 0.000 0.000
Tc1 Tc 0.500 0.500 0.500
N1 N 0.000 0.500 0.000
O1 O 0.000 0.000 0.500
# Density of states at the Fermi level   2.66 states/eV/cell
# E_form (uncorrected)   1.557 eV per atom
# M_tot   1.0 μB/f.u.

Record 9
# Sc2SiIr, optimized geometry, DFT PBE-GGA
data_Sc2SiIr
_chemical_formula_sum 'Sc2 Si1 Ir1'
_space_group_name_H-M_alt 'P 4/m m m'
_space_group_IT_number 123
_space_group_name_Hall '-P 4 2'
_cell_length_a 4.357
_cell_length_b 4.357
_cell_length_c 3.616
_cell_angle_alpha 90.00
_cell_angle_beta 90.00
_cell_angle_gamma 90.00
loop_
_atom_site_label
_atom_site_type_symbol
_atom_site_fract_x
_atom_site_fract_y
_atom_site_fract_z
Sc1 Sc 0.000 0.500 0.000
Si1 Si 0.000 0.000 0.500
Ir1 Ir 0.500 0.500 0.500
# Density of states at the Fermi level   1.18 states/eV/cell
# E_form (uncorrected)   -0.790 eV per atom
# M_tot   0.0 μB/f.u.

Record 10
# Li5PrHg7, optimized geometry, DFT PBE-GGA
data_Li5PrHg7
_chemical_formula_sum 'Li10 Pr2 Hg14'
_space_group_name_H-M_alt 'I m m 2'
_space_group_IT_number 44
_space_group_name_Hall 'I 2 -2'
_cell_length_a 5.485
_cell_length_b 9.990
_cell_length_c 9.775
_cell_angle_alpha 90.00
_cell_angle_beta 90.00
_cell_angle_gamma 90.00
loop_
_atom_site_label
_atom_site_type_symbol
_atom_site_fract_x
_atom_site_fract_y
_atom_site_fract_z
Li1 Li 0.000 0.000 0.000
Li2 Li 0.246 0.246 0.513
Pr1 Pr 0.000 0.500 0.253
Hg1 Hg 0.000 0.000 0.533
Hg2 Hg 0.000 0.162 0.249
Hg3 Hg 0.000 0.188 0.779
Hg4 Hg 0.000 0.500 0.587
Hg5 Hg 0.000 0.500 0.904
# Density of states at the Fermi level   12.73 states/eV/cell
# DFT formation energy   -0.315 eV/atom
# M_tot   0.0 μB/f.u.

Record 11
# PmSm8Co2, optimized geometry, DFT PBE-GGA
data_PmSm8Co2
_chemical_formula_sum 'Pm2 Sm16 Co4'
_space_group_name_H-M_alt 'C 1 2/m 1'
_space_group_IT_number 12
_space_group_name_Hall '-C 2y'
_cell_length_a 8.609
_cell_length_b 13.743
_cell_length_c 5.598
_cell_angle_alpha 90.00
_cell_angle_beta 100.84
_cell_angle_gamma 90.00
loop_
_atom_site_label
_atom_site_type_symbol
_atom_site_fract_x
_atom_site_fract_y
_atom_site_fract_z
Pm1 Pm 0.000 0.000 0.000
Sm1 Sm 0.000 0.258 0.000
Sm2 Sm 0.095 0.500 0.792
Sm3 Sm 0.207 0.131 0.566
Co1 Co 0.000 0.300 0.500
# Density of states at the Fermi level   32.51 states/eV/cell
# DFT formation energy   0.059 eV/atom
# M_tot   0.0 μB/f.u.

Record 12
# TlCrRe2, optimized geometry, DFT PBE-GGA
data_TlCrRe2
_chemical_formula_sum 'Tl2 Cr2 Re4'
_space_group_name_H-M_alt 'I m m m'
_space_group_IT_number 71
_space_group_name_Hall '-I 2 2'
_cell_length_a 2.900
_cell_length_b 4.558
_cell_length_c 9.794
_cell_angle_alpha 90.00
_cell_angle_beta 90.00
_cell_angle_gamma 90.00
loop_
_atom_site_label
_atom_site_type_symbol
_atom_site_fract_x
_atom_site_fract_y
_atom_site_fract_z
Tl1 Tl 0.000 0.000 0.000
Cr1 Cr 0.000 0.000 0.500
Re1 Re 0.000 0.500 0.214
# Density of states at the Fermi level   6.21 states/eV/cell
# Energy relative to the lowest polymorph listed for this composition   15.9 kJ/mol of atoms
# DFT formation energy   0.680 eV/atom
# M_tot   0.8 μB/f.u.

Record 13
# Ti6AsC4, optimized geometry, DFT PBE-GGA
data_Ti6AsC4
_chemical_formula_sum 'Ti24 As4 C16'
_space_group_name_H-M_alt 'C m c m'
_space_group_IT_number 63
_space_group_name_Hall '-C 2c 2'
_cell_length_a 3.173
_cell_length_b 10.275
_cell_length_c 16.184
_cell_angle_alpha 90.00
_cell_angle_beta 90.00
_cell_angle_gamma 90.00
loop_
_atom_site_label
_atom_site_type_symbol
_atom_site_fract_x
_atom_site_fract_y
_atom_site_fract_z
Ti1 Ti 0.000 0.000 0.000
Ti2 Ti 0.000 0.147 0.250
Ti3 Ti 0.000 0.274 0.577
Ti4 Ti 0.000 0.465 0.149
As1 As 0.000 0.161 0.750
C1 C 0.000 0.092 0.123
C2 C 0.000 0.362 0.040
# Density of states at the Fermi level   16.09 states/eV/cell
# DFT formation energy   -0.872 eV/atom
# M_tot   0.0 μB/f.u.

Record 14
# SrPSeO2, optimized geometry, DFT PBE-GGA
data_SrPSeO2
_chemical_formula_sum 'Sr1 P1 Se1 O2'
_space_group_name_H-M_alt 'P 4/m m m'
_space_group_IT_number 123
_space_group_name_Hall '-P 4 2'
_cell_length_a 4.355
_cell_length_b 4.355
_cell_length_c 8.050
_cell_angle_alpha 90.00
_cell_angle_beta 90.00
_cell_angle_gamma 90.00
loop_
_atom_site_label
_atom_site_type_symbol
_atom_site_fract_x
_atom_site_fract_y
_atom_site_fract_z
Sr1 Sr 0.000 0.000 0.000
P1 P 0.000 0.000 0.500
Se1 Se 0.500 0.500 0.500
O1 O 0.000 0.500 0.000
# Density of states at the Fermi level   2.51 states/eV/cell
# Energy relative to the lowest polymorph listed for this composition   78.7 kJ/mol of atoms
# E_form (uncorrected)   0.220 eV per atom
# M_tot   3.1 μB/f.u.

Record 15
# Ba4ZrHg, optimized geometry, DFT PBE-GGA
data_Ba4ZrHg
_chemical_formula_sum 'Ba16 Zr4 Hg4'
_space_group_name_H-M_alt 'F -4 3 m'
_space_group_IT_number 216
_space_group_name_Hall 'F -4 2 3'
_cell_length_a 10.273
_cell_length_b 10.273
_cell_length_c 10.273
_cell_angle_alpha 90.00
_cell_angle_beta 90.00
_cell_angle_gamma 90.00
loop_
_atom_site_label
_atom_site_type_symbol
_atom_site_fract_x
_atom_site_fract_y
_atom_site_fract_z
Ba1 Ba 0.125 0.125 0.125
Zr1 Zr 0.000 0.000 0.500
Hg1 Hg 0.250 0.250 0.750
# Density of states at the Fermi level   47.78 states/eV/cell
# DFT formation energy   0.704 eV/atom
# M_tot   4.7 μB/f.u.

Record 16
# Ac3P4Pt4, optimized geometry, DFT PBE-GGA
data_Ac3P4Pt4
_chemical_formula_sum 'Ac6 P8 Pt8'
_space_group_name_H-M_alt 'C 1 m 1'
_space_group_IT_number 8
_space_group_name_Hall 'C -2y'
_cell_length_a 24.980
_cell_length_b 4.238
_cell_length_c 4.513
_cell_angle_alpha 90.00
_cell_angle_beta 99.65
_cell_angle_gamma 90.00
loop_
_atom_site_label
_atom_site_type_symbol
_atom_site_fract_x
_atom_site_fract_y
_atom_site_fract_z
Ac1 Ac 0.000 0.000 0.000
Ac2 Ac 0.147 0.500 0.141
Ac3 Ac 0.349 0.000 0.857
P1 P 0.048 0.500 0.542
P2 P 0.195 0.000 0.750
P3 P 0.309 0.500 0.318
P4 P 0.451 0.000 0.427
Pt1 Pt 0.095 0.000 0.601
Pt2 Pt 0.239 0.500 0.657
Pt3 Pt 0.258 0.000 0.266
Pt4 Pt 0.406 0.500 0.431
# Density of states at the Fermi level   8.52 states/eV/cell
# DFT formation energy   -1.124 eV/atom
# M_tot   0.0 μB/f.u.

Record 17
# LaNd2Sm, optimized geometry, DFT PBE-GGA
data_LaNd2Sm
_chemical_formula_sum 'La3 Nd6 Sm3'
_space_group_name_H-M_alt 'R -3 m'
_space_group_IT_number 166
_space_group_name_Hall '-R 3 2"'
_cell_length_a 3.6844
_cell_length_b 3.6844
_cell_length_c 36.1728
_cell_angle_alpha 90.00
_cell_angle_beta 90.00
_cell_angle_gamma 120.00
loop_
_atom_site_label
_atom_site_type_symbol
_atom_site_fract_x
_atom_site_fract_y
_atom_site_fract_z
La1 La 0.0000 0.0000 0.0000
Nd1 Nd 0.0000 0.0000 0.2487
Sm1 Sm 0.0000 0.0000 0.5000
# Density of states at the Fermi level   19.57 states/eV/cell
# Energy relative to the lowest polymorph listed for this composition   0.0 kJ/mol of atoms
# DFT formation energy   0.015 eV/atom
# M_tot   0.0 μB/f.u.

Record 18
# MnFe2Se, optimized geometry, DFT PBE-GGA
data_MnFe2Se
_chemical_formula_sum 'Mn2 Fe4 Se2'
_space_group_name_H-M_alt 'C 1 2/m 1'
_space_group_IT_number 12
_space_group_name_Hall '-C 2y'
_cell_length_a 5.066
_cell_length_b 8.853
_cell_length_c 2.948
_cell_angle_alpha 90.00
_cell_angle_beta 123.71
_cell_angle_gamma 90.00
loop_
_atom_site_label
_atom_site_type_symbol
_atom_site_fract_x
_atom_site_fract_y
_atom_site_fract_z
Mn1 Mn 0.000 0.000 0.000
Fe1 Fe 0.250 0.250 0.500
Se1 Se 0.000 0.500 0.000
# Density of states at the Fermi level   8.22 states/eV/cell
# E_form (uncorrected)   0.298 eV per atom
# M_tot   8.1 μB/f.u.

Record 19
# LiTc, optimized geometry, DFT PBE-GGA
data_LiTc
_chemical_formula_sum 'Li2 Tc2'
_space_group_name_H-M_alt 'P m m a'
_space_group_IT_number 51
_space_group_name_Hall '-P 2a 2a'
_cell_length_a 4.403
_cell_length_b 2.483
_cell_length_c 5.268
_cell_angle_alpha 90.00
_cell_angle_beta 90.00
_cell_angle_gamma 90.00
loop_
_atom_site_label
_atom_site_type_symbol
_atom_site_fract_x
_atom_site_fract_y
_atom_site_fract_z
Li1 Li 0.250 0.000 0.121
Tc1 Tc 0.250 0.500 0.611
# Density of states at the Fermi level   1.78 states/eV/cell
# Energy relative to the lowest polymorph listed for this composition   12.5 kJ/mol of atoms
# DFT formation energy   0.223 eV/atom
# M_tot   0.0 μB/f.u.

Record 20
# SmPa2PtN5, optimized geometry, DFT PBE-GGA
data_SmPa2PtN5
_chemical_formula_sum 'Sm4 Pa8 Pt4 N20'
_space_group_name_H-M_alt 'I 4/m c m'
_space_group_IT_number 140
_space_group_name_Hall '-I 4 2c'
_cell_length_a 6.573
_cell_length_b 6.573
_cell_length_c 11.708
_cell_angle_alpha 90.00
_cell_angle_beta 90.00
_cell_angle_gamma 90.00
loop_
_atom_site_label
_atom_site_type_symbol
_atom_site_fract_x
_atom_site_fract_y
_atom_site_fract_z
Sm1 Sm 0.000 0.000 0.250
Pa1 Pa 0.172 0.328 0.000
Pt1 Pt 0.000 0.500 0.250
N1 N 0.000 0.000 0.000
N2 N 0.154 0.346 0.377
# Density of states at the Fermi level   27.49 states/eV/cell
# E_form (uncorrected)   -0.983 eV per atom
# M_tot   0.0 μB/f.u.